# 1
The following is a DFT calculation (PBE) of Pm5Y5Tm after structural relaxation.

Geometry as CIF:
```
data_Pm5Y5Tm
_cell_length_a 18.981
_cell_length_b 6.047
_cell_length_c 6.984
_cell_angle_alpha 90.00
_cell_angle_beta 111.03
_cell_angle_gamma 90.00
_symmetry_space_group_name_H-M 'C 1 2/m 1'
_symmetry_Int_Tables_number 12
_symmetry_space_group_name_Hall '-C 2y'
loop_
_atom_site_label
_atom_site_type_symbol
_atom_site_fract_x
_atom_site_fract_y
_atom_site_fract_z
_atom_site_occupancy
Pm1 Pm 0.000 0.000 0.000 1
Pm2 Pm 0.125 0.500 0.128 1
Pm3 Pm 0.171 0.500 0.674 1
Y1 Y 0.000 0.500 0.500 1
Y2 Y 0.176 0.000 0.429 1
Y3 Y 0.177 0.000 0.921 1
Tm1 Tm 0.000 0.000 0.500 1
```



# 2
The following is a DFT calculation (PBE) of BaSr2Ca after structural relaxation.

Geometry as CIF:
```
data_BaSr2Ca
_cell_length_a 4.2374
_cell_length_b 4.2374
_cell_length_c 41.2630
_cell_angle_alpha 90.00
_cell_angle_beta 90.00
_cell_angle_gamma 120.00
_symmetry_space_group_name_H-M 'R -3 m'
_symmetry_Int_Tables_number 166
_symmetry_space_group_name_Hall '-R 3 2"'
loop_
_atom_site_label
_atom_site_type_symbol
_atom_site_fract_x
_atom_site_fract_y
_atom_site_fract_z
_atom_site_occupancy
Ba1 Ba 0.0000 0.0000 0.0000 1
Sr1 Sr 0.0000 0.0000 0.2453 1
Ca1 Ca 0.0000 0.0000 0.5000 1
```



# 3
The following is a DFT calculation (PBE) of Al3Tl after structural relaxation.

Geometry as CIF:
```
data_Al3Tl
_cell_length_a 9.6327
_cell_length_b 9.6327
_cell_length_c 3.1270
_cell_angle_alpha 90.00
_cell_angle_beta 90.00
_cell_angle_gamma 120.00
_symmetry_space_group_name_H-M 'R -3 m'
_symmetry_Int_Tables_number 166
_symmetry_space_group_name_Hall '-R 3 2"'
loop_
_atom_site_label
_atom_site_type_symbol
_atom_site_fract_x
_atom_site_fract_y
_atom_site_fract_z
_atom_site_occupancy
Al1 Al 0.0000 0.5000 0.0000 1
Tl1 Tl 0.0000 0.0000 0.0000 1
```



# 4
The following is a DFT calculation (PBE) of CuIrPt2 after structural relaxation.

Geometry as CIF:
```
data_CuIrPt2
_cell_length_a 2.763
_cell_length_b 2.763
_cell_length_c 7.623
_cell_angle_alpha 90.00
_cell_angle_beta 90.00
_cell_angle_gamma 90.00
_symmetry_space_group_name_H-M 'P 4/m m m'
_symmetry_Int_Tables_number 123
_symmetry_space_group_name_Hall '-P 4 2'
loop_
_atom_site_label
_atom_site_type_symbol
_atom_site_fract_x
_atom_site_fract_y
_atom_site_fract_z
_atom_site_occupancy
Cu1 Cu 0.000 0.000 0.000 1
Ir1 Ir 0.000 0.000 0.500 1
Pt1 Pt 0.500 0.500 0.244 1
```



# 5
The following is a DFT calculation (PBE) of TePt3 after structural relaxation.

Geometry as CIF:
```
data_TePt3
_cell_length_a 8.912
_cell_length_b 3.600
_cell_length_c 4.634
_cell_angle_alpha 90.00
_cell_angle_beta 106.51
_cell_angle_gamma 90.00
_symmetry_space_group_name_H-M 'C 1 2/m 1'
_symmetry_Int_Tables_number 12
_symmetry_space_group_name_Hall '-C 2y'
loop_
_atom_site_label
_atom_site_type_symbol
_atom_site_fract_x
_atom_site_fract_y
_atom_site_fract_z
_atom_site_occupancy
Te1 Te 0.000 0.000 0.000 1
Pt1 Pt 0.000 0.500 0.500 1
Pt2 Pt 0.250 0.000 0.748 1
```



# 6
The following is a DFT calculation (PBE) of La2U2S7 after structural relaxation.

Geometry as CIF:
```
data_La2U2S7
_cell_length_a 3.987
_cell_length_b 14.357
_cell_length_c 8.733
_cell_angle_alpha 90.00
_cell_angle_beta 90.00
_cell_angle_gamma 90.00
_symmetry_space_group_name_H-M 'I m m 2'
_symmetry_Int_Tables_number 44
_symmetry_space_group_name_Hall 'I 2 -2'
loop_
_atom_site_label
_atom_site_type_symbol
_atom_site_fract_x
_atom_site_fract_y
_atom_site_fract_z
_atom_site_occupancy
La1 La 0.000 0.000 0.000 1
La2 La 0.000 0.500 0.039 1
U1 U 0.000 0.243 0.247 1
S1 S 0.000 0.000 0.315 1
S2 S 0.000 0.117 0.721 1
S3 S 0.000 0.310 0.937 1
S4 S 0.000 0.353 0.556 1
```



# 7
The following is a DFT calculation (PBE) of ScPaAgRu after structural relaxation.

Geometry as CIF:
```
data_ScPaAgRu
_cell_length_a 6.874
_cell_length_b 6.874
_cell_length_c 6.874
_cell_angle_alpha 90.00
_cell_angle_beta 90.00
_cell_angle_gamma 90.00
_symmetry_space_group_name_H-M 'F -4 3 m'
_symmetry_Int_Tables_number 216
_symmetry_space_group_name_Hall 'F -4 2 3'
loop_
_atom_site_label
_atom_site_type_symbol
_atom_site_fract_x
_atom_site_fract_y
_atom_site_fract_z
_atom_site_occupancy
Sc1 Sc 0.000 0.000 0.000 1
Pa1 Pa 0.000 0.000 0.500 1
Ag1 Ag 0.250 0.250 0.250 1
Ru1 Ru 0.250 0.250 0.750 1
```



# 8
The following is a DFT calculation (PBE) of Dy2HoIr after structural relaxation.

Geometry as CIF:
```
data_Dy2HoIr
_cell_length_a 3.7242
_cell_length_b 3.7242
_cell_length_c 31.4170
_cell_angle_alpha 90.00
_cell_angle_beta 90.00
_cell_angle_gamma 120.00
_symmetry_space_group_name_H-M 'R -3 m'
_symmetry_Int_Tables_number 166
_symmetry_space_group_name_Hall '-R 3 2"'
loop_
_atom_site_label
_atom_site_type_symbol
_atom_site_fract_x
_atom_site_fract_y
_atom_site_fract_z
_atom_site_occupancy
Dy1 Dy 0.0000 0.0000 0.1127 1
Ho1 Ho 0.0000 0.0000 0.0000 1
Ir1 Ir 0.0000 0.0000 0.5000 1
```



# 9
The following is a DFT calculation (PBE) of ScSi2Tc after structural relaxation.

Geometry as CIF:
```
data_ScSi2Tc
_cell_length_a 3.1821
_cell_length_b 3.1821
_cell_length_c 22.7795
_cell_angle_alpha 90.00
_cell_angle_beta 90.00
_cell_angle_gamma 120.00
_symmetry_space_group_name_H-M 'R -3 m'
_symmetry_Int_Tables_number 166
_symmetry_space_group_name_Hall '-R 3 2"'
loop_
_atom_site_label
_atom_site_type_symbol
_atom_site_fract_x
_atom_site_fract_y
_atom_site_fract_z
_atom_site_occupancy
Sc1 Sc 0.0000 0.0000 0.0000 1
Si1 Si 0.0000 0.0000 0.2396 1
Tc1 Tc 0.0000 0.0000 0.5000 1
```



# 10
The following is a DFT calculation (PBE) of NdThH after structural relaxation.

Geometry as CIF:
```
data_NdThH
_cell_length_a 3.6558
_cell_length_b 3.6558
_cell_length_c 5.9882
_cell_angle_alpha 90.00
_cell_angle_beta 90.00
_cell_angle_gamma 120.00
_symmetry_space_group_name_H-M 'P 3 m 1'
_symmetry_Int_Tables_number 156
_symmetry_space_group_name_Hall 'P 3 -2"'
loop_
_atom_site_label
_atom_site_type_symbol
_atom_site_fract_x
_atom_site_fract_y
_atom_site_fract_z
_atom_site_occupancy
Nd1 Nd 0.0000 0.0000 0.0000 1
Th1 Th 0.6667 0.3333 0.5015 1
H1 H 0.3333 0.6667 0.7440 1
```



Number 1: E_tot -5.24 eV per atom. Number 2: E_tot -1.79 eV per atom. Number 3: E_tot -3.09 eV per atom. Number 4: E_tot -6.27 eV per atom. Number 5: E_tot -5.26 eV per atom. Number 6: E_tot -7.27 eV per atom. Number 7: E_tot -7.13 eV per atom. Number 8: E_tot -5.78 eV per atom. Number 9: E_tot -7.12 eV per atom. Number 10: E_tot -5.31 eV per atom.